Here is a geometry-optimized HoTm3Te6 structure from Alexandria. Energies are from PBE.

## Properties
Mass density (g cm⁻³): 6.683
E above lowest polymorph (eV per formula unit): 0.43

Cell: 12.6979 12.6979 15.3454 Å, 90.00 90.00 120.00°
Space group R-3 (No. 148, hexagonal axes)
Asymmetric unit:
Ho 0.0000 0.0000 0.0000 x3
Ho 0.0000 0.0000 0.5000 x3
Tm 0.0569 0.2748 0.2001 x18
Te 0.0157 0.2102 0.3932 x18
Te 0.0336 0.1970 0.8747 x18